Entry 1:
# Sr2CoO4 PBE+U relaxed
# Crystal system: tetragonal
# ρ in g cm⁻³: 5.58
# Electronic total energy in eV per atom: -6.003
data_Sr2CoO4
_chemical_formula_sum 'Sr2 Co1 O4'
_symmetry_space_group_name_H-M 'P 1'
_symmetry_Int_Tables_number 1
_symmetry_space_group_name_Hall 'P 1'
_cell_length_a 3.769
_cell_length_b 3.769
_cell_length_c 6.795
_cell_angle_alpha 106.10
_cell_angle_beta 106.10
_cell_angle_gamma 90.00
loop_
_atom_site_label
_atom_site_type_symbol
_atom_site_fract_x
_atom_site_fract_y
_atom_site_fract_z
Co1 Co 0.000 0.000 0.000
O1 O 0.500 0.000 0.000
O2 O 0.000 0.500 0.000
O3 O 0.158 0.158 0.316
O4 O 0.842 0.842 0.684
Sr1 Sr 0.645 0.645 0.290
Sr2 Sr 0.355 0.355 0.710

Entry 2:
# Sr2CoO4 PBE+U relaxed
# Crystal system: orthorhombic
# ρ in g cm⁻³: 5.18
# Electronic total energy in eV per atom: -5.908
data_Sr2CoO4
_chemical_formula_sum 'Sr4 Co2 O8'
_symmetry_space_group_name_H-M 'P 1'
_symmetry_Int_Tables_number 1
_symmetry_space_group_name_Hall 'P 1'
_cell_length_a 6.055
_cell_length_b 9.330
_cell_length_c 3.386
_cell_angle_alpha 90.00
_cell_angle_beta 90.00
_cell_angle_gamma 90.00
loop_
_atom_site_label
_atom_site_type_symbol
_atom_site_fract_x
_atom_site_fract_y
_atom_site_fract_z
Co1 Co 0.000 0.000 0.000
Co2 Co 0.500 0.500 0.000
O1 O 0.889 0.176 0.000
O2 O 0.389 0.324 0.000
O3 O 0.611 0.676 0.000
O4 O 0.111 0.824 0.000
O5 O 0.214 0.056 0.500
O6 O 0.714 0.444 0.500
O7 O 0.286 0.556 0.500
O8 O 0.786 0.944 0.500
Sr1 Sr 0.592 0.180 0.500
Sr2 Sr 0.092 0.320 0.500
Sr3 Sr 0.908 0.680 0.500
Sr4 Sr 0.408 0.820 0.500